[1]
Here is a relaxed structure of NiC2I from Alexandria. Energies are from PBE-GGA.

Unit cell a=4.0797 b=4.0797 c=4.0797 alpha=60.00 beta=60.00 gamma=60.00
Closest atoms and distances in Å follow each position.
Fractional positions:
I  0.5000  0.5000  0.5000  8 C 2.50
Ni  0.0000  0.0000  0.0000  8 C 2.50
C  0.2500  0.2500  0.2500  4 Ni 2.50, 4 I 2.50
C  0.7500  0.7500  0.7500  4 I 2.50, 4 Ni 2.50

Calculated values
- Raw formation energy: 2.70 eV/atom
- Electronic total energy: -15.0 eV per cell
- Space-group type: No. 225

[2]
Here is a relaxed structure of NiC3I from Alexandria. Energies are from PBE-GGA.

Unit cell a=4.0972 b=4.0972 c=4.0972 alpha=90.00 beta=90.00 gamma=90.00
Closest atoms and distances in Å follow each position.
Fractional positions:
I  0.0000  0.0000  0.0000  6 C 2.05
Ni  0.5000  0.5000  0.5000  12 C 2.90
C  0.0000  0.5000  0.0000  2 I 2.05
C  0.0000  0.0000  0.5000  2 I 2.05
C  0.5000  0.0000  0.0000  2 I 2.05

Calculated values
- Raw formation energy: 3.63 eV/atom
- Electronic total energy: -16.8 eV per cell
- Space-group type: No. 221